Entry from the Alexandria database: an optimized crystal structure of Hf3InCl (PBE).

a b c (Å): 4.7574 4.7574 4.7574
angles (deg): 90.00 90.00 90.00
Last column: nearest neighbours and their distance in Å.
Element x y z (fractional)
Hf 0.0000 0.0000 0.5000  2 Cl 2.38
Hf 0.0000 0.5000 0.0000  2 Cl 2.38
Hf 0.5000 0.0000 0.0000  2 Cl 2.38
In 0.5000 0.5000 0.5000  12 Hf 3.36
Cl 0.0000 0.0000 0.0000  6 Hf 2.38

Results
calculated total energy: -6.7570 eV per atom

Entry from the Alexandria database: an optimized crystal structure of HfInCl2 (PBE).

a b c (Å): 6.9339 6.9339 6.9339
angles (deg): 90.00 90.00 90.00
Last column: nearest neighbours and their distance in Å.
Element x y z (fractional)
Hf 0.0000 0.0000 0.0000  8 Cl 3.00
Hf 0.0000 0.5000 0.5000  8 Cl 3.00
Hf 0.5000 0.0000 0.5000  8 Cl 3.00
Hf 0.5000 0.5000 0.0000  8 Cl 3.00
In 0.0000 0.0000 0.5000  8 Cl 3.00
In 0.0000 0.5000 0.0000  8 Cl 3.00
In 0.5000 0.0000 0.0000  8 Cl 3.00
In 0.5000 0.5000 0.5000  8 Cl 3.00
Cl 0.2500 0.2500 0.2500  4 In 3.00, 4 Hf 3.00
Cl 0.2500 0.2500 0.7500  4 Hf 3.00, 4 In 3.00
Cl 0.2500 0.7500 0.2500  4 Hf 3.00, 4 In 3.00
Cl 0.2500 0.7500 0.7500  4 Hf 3.00, 4 In 3.00
Cl 0.7500 0.2500 0.2500  4 Hf 3.00, 4 In 3.00
Cl 0.7500 0.2500 0.7500  4 Hf 3.00, 4 In 3.00
Cl 0.7500 0.7500 0.2500  4 Hf 3.00, 4 In 3.00
Cl 0.7500 0.7500 0.7500  4 Hf 3.00, 4 In 3.00

Results
calculated total energy: -4.1632 eV per atom

Entry from the Alexandria database: an optimized crystal structure of HfInCl3 (PBE).

a b c (Å): 5.0465 5.0465 5.0465
angles (deg): 90.00 90.00 90.00
Last column: nearest neighbours and their distance in Å.
Element x y z (fractional)
Hf 0.0000 0.0000 0.0000  6 Cl 2.52
In 0.5000 0.5000 0.5000  12 Cl 3.57
Cl 0.0000 0.0000 0.5000  2 Hf 2.52
Cl 0.0000 0.5000 0.0000  2 Hf 2.52
Cl 0.5000 0.0000 0.0000  2 Hf 2.52

Results
calculated total energy: -4.5409 eV per atom

Entry from the Alexandria database: an optimized crystal structure of HfInCl6 (PBE).

a b c (Å): 7.0719 7.0719 7.0719
angles (deg): 55.59 55.59 55.59
Last column: nearest neighbours and their distance in Å.
Element x y z (fractional)
Hf 0.0000 0.0000 0.0000  6 Cl 2.47
In 0.5000 0.5000 0.5000  6 Cl 2.79
Cl 0.0767 0.3867 0.7738  1 Hf 2.47
Cl 0.2262 0.9233 0.6133  1 Hf 2.47
Cl 0.3867 0.7738 0.0767  1 Hf 2.47
Cl 0.6133 0.2262 0.9233  1 Hf 2.47
Cl 0.7738 0.0767 0.3867  1 Hf 2.47
Cl 0.9233 0.6133 0.2262  1 Hf 2.47

Results
calculated total energy: -4.4023 eV per atom

Entry from the Alexandria database: an optimized crystal structure of HfIn6Cl12 (PBE).

a b c (Å): 8.5352 8.5352 8.5352
angles (deg): 98.31 98.31 98.31
Last column: nearest neighbours and their distance in Å.
Element x y z (fractional)
Hf 0.0000 0.0000 0.0000  6 Cl 2.47
In 0.1530 0.6257 0.3235  4 Cl 2.85-3.09
In 0.3235 0.1530 0.6257  4 Cl 2.85-3.09
In 0.3743 0.6765 0.8470  4 Cl 2.85-3.09
In 0.6257 0.3235 0.1530  4 Cl 2.85-3.09
In 0.6765 0.8470 0.3743  4 Cl 2.85-3.09
In 0.8470 0.3743 0.6765  4 Cl 2.85-3.09
Cl 0.0141 0.7111 0.9380  1 Hf 2.47
Cl 0.0620 0.9859 0.2889  1 Hf 2.47
Cl 0.1769 0.4291 0.5662  4 In 2.85-3.09
Cl 0.2889 0.0620 0.9859  1 Hf 2.47
Cl 0.4291 0.5662 0.1769  4 In 2.85-3.09
Cl 0.4338 0.8231 0.5709  4 In 2.85-3.09
Cl 0.5662 0.1769 0.4291  4 In 2.85-3.09
Cl 0.5709 0.4338 0.8231  4 In 2.85-3.09
Cl 0.7111 0.9380 0.0141  1 Hf 2.47
Cl 0.8231 0.5709 0.4338  4 In 2.85-3.09
Cl 0.9380 0.0141 0.7111  1 Hf 2.47
Cl 0.9859 0.2889 0.0620  1 Hf 2.47

Results
calculated total energy: -3.6115 eV per atom

Entry from the Alexandria database: an optimized crystal structure of Hf2InCl (PBE).

a b c (Å): 5.0078 5.0078 16.4113
angles (deg): 90.00 90.00 90.00
Last column: nearest neighbours and their distance in Å.
Element x y z (fractional)
Hf 0.1838 0.2500 0.1250  2 Cl 2.57, 2 In 2.88
Hf 0.2500 0.6838 0.3750  2 Cl 2.57, 2 In 2.88
Hf 0.2500 0.8162 0.8750  2 Cl 2.57, 2 In 2.88
Hf 0.3162 0.2500 0.6250  2 Cl 2.57, 2 In 2.88
Hf 0.6838 0.7500 0.6250  2 Cl 2.57, 2 In 2.88
Hf 0.7500 0.1838 0.8750  2 Cl 2.57, 2 In 2.88
Hf 0.7500 0.3162 0.3750  2 Cl 2.57, 2 In 2.88
Hf 0.8162 0.7500 0.1250  2 Cl 2.57, 2 In 2.88
In 0.0000 0.0000 0.5000  4 Hf 2.88
In 0.0000 0.5000 0.7500  4 Hf 2.88
In 0.5000 0.0000 0.2500  4 Hf 2.88
In 0.5000 0.5000 0.0000  4 Hf 2.88
Cl 0.0000 0.0000 0.0000  4 Hf 2.57
Cl 0.0000 0.5000 0.2500  4 Hf 2.57
Cl 0.5000 0.0000 0.7500  4 Hf 2.57
Cl 0.5000 0.5000 0.5000  4 Hf 2.57

Results
calculated total energy: -5.7125 eV per atom

> Which value of calculated total energy does entry 4 give?

-4.4023 eV per atom

> Which formula does entry 5 have?

HfIn6Cl12

> The highest calculated total energy belongs to which entry?

HfIn6Cl12

> What is the formula in the fifth record?

HfIn6Cl12